# 1
AgMoOs2: relaxed, PBE.

Output
Energy relative to the lowest polymorph listed for this composition = 0.298 eV/atom
Calculated density = 15.24 Mg/m³
Final energy = -8.464 eV per atom
E_form = 0.57 eV/atom

Cell and atoms, written as CIF:
```
data_AgMoOs2
_chemical_formula_sum 'Ag2 Mo2 Os4'
_symmetry_space_group_name_H-M 'I m m m'
_symmetry_Int_Tables_number 71
_symmetry_space_group_name_Hall '-I 2 2'
_cell_length_a 2.8254
_cell_length_b 4.6982
_cell_length_c 9.5904
_cell_angle_alpha 90.00
_cell_angle_beta 90.00
_cell_angle_gamma 90.00
loop_
_atom_site_label
_atom_site_fract_x
_atom_site_fract_y
_atom_site_fract_z
Ag1 0.0000 0.0000 0.0000
Mo1 0.0000 0.0000 0.5000
Os1 0.0000 0.5000 0.2254
```


# 2
AgMoOs2: relaxed, PBE.

Output
Energy relative to the lowest polymorph listed for this composition = 0.158 eV/atom
Calculated density = 15.67 Mg/m³
Final energy = -8.604 eV per atom
E_form = 0.43 eV/atom

Cell and atoms, written as CIF:
```
data_AgMoOs2
_chemical_formula_sum 'Ag2 Mo2 Os4'
_symmetry_space_group_name_H-M 'C 1 2/m 1'
_symmetry_Int_Tables_number 12
_symmetry_space_group_name_Hall '-C 2y'
_cell_length_a 9.3304
_cell_length_b 2.7774
_cell_length_c 4.8661
_cell_angle_alpha 90.00
_cell_angle_beta 100.92
_cell_angle_gamma 90.00
loop_
_atom_site_label
_atom_site_fract_x
_atom_site_fract_y
_atom_site_fract_z
Ag1 0.0000 0.0000 0.0000
Mo1 0.0000 0.5000 0.5000
Os1 0.2365 0.0000 0.7267
```